[1]
Here is a geometry-optimized LiZrRe2 structure from Alexandria. Energies are from PBE.

Structure (extended XYZ):
```
4
Lattice="-0.423 1.604 2.830 -1.222 -3.630 1.875 4.316 -0.867 1.136" Properties=species:S:1:pos:R:3 pbc="T T T"
Li 1.547 -2.248 1.505
Re 0.000 0.000 0.000
Re -0.822 -1.013 2.353
Zr 1.947 0.369 1.983
```

Properties
The value obtained for the energy of formation is 0.592 eV per formula unit. The calculation puts the relative energy among the computed polymorphs at 68 meV per atom. The space group is No. 47.



[2]
Here is a geometry-optimized SrCa2Tc structure from Alexandria. Energies are from PBE.

Structure (extended XYZ):
```
4
Lattice="-3.439 -4.057 -3.270 2.475 -2.232 5.670 -2.847 0.005 2.077" Properties=species:S:1:pos:R:3 pbc="T T T"
Sr -0.186 -1.114 3.874
Ca 0.000 0.000 0.000
Ca -3.143 -2.026 -0.596
Tc -0.482 -3.144 1.200
```

Properties
The value obtained for the energy of formation is 3.176 eV per formula unit. The calculation puts the relative energy among the computed polymorphs at 307 meV per atom. The space group is No. 12.



[3]
Here is a geometry-optimized Y4InGaHg2 structure from Alexandria. Energies are from PBE.

Structure (extended XYZ):
```
8
Lattice="-2.136 0.134 4.792 -5.156 -0.774 0.597 -1.071 -8.618 2.637" Properties=species:S:1:pos:R:3 pbc="T T T"
Y -3.690 -7.669 4.317
Y -6.766 -3.892 5.714
Y -1.597 -5.366 2.312
Y -4.673 -1.589 3.709
In 0.000 0.000 0.000
Ga -4.182 -4.629 4.013
Hg -6.258 -7.032 6.029
Hg -2.105 -2.226 1.998
```

Properties
The value obtained for the energy of formation is -4.197 eV per formula unit. The space group is No. 166.



[4]
Here is a geometry-optimized AsPBr2 structure from Alexandria. Energies are from PBE.

Structure (extended XYZ):
```
4
Lattice="-4.712 5.332 2.951 -7.263 0.236 2.556 7.154 -2.854 -0.147" Properties=species:S:1:pos:R:3 pbc="T T T"
As -0.871 2.212 2.364
Br -0.197 0.091 0.090
Br -3.071 0.094 2.592
P -6.670 3.102 3.067
```

Properties
The formation energy (no corrections) comes out at 0.24 eV per atom. The calculation puts the relative energy among the computed polymorphs at 400 meV per atom. The space group is No. 44.



[5]
Here is a geometry-optimized TbNd3Cd4 structure from Alexandria. Energies are from PBE.

Structure (extended XYZ):
```
8
Lattice="-1.721 2.903 1.793 -0.642 -2.248 3.023 13.527 4.279 6.054" Properties=species:S:1:pos:R:3 pbc="T T T"
Nd 2.146 1.380 3.897
Nd 5.582 2.467 5.435
Nd 9.018 3.554 6.973
Tb -1.181 0.328 2.408
Cd 11.947 3.779 5.347
Cd 1.580 0.500 0.707
Cd 5.055 1.599 2.262
Cd 8.472 2.680 3.792
```

Properties
The value obtained for the energy of formation is -2.530 eV per formula unit. The space group is No. 123.



[6]
Here is a geometry-optimized YZn4Ga4 structure from Alexandria. Energies are from PBE.

Structure (extended XYZ):
```
18
Lattice="5.038 0.000 0.000 0.000 8.140 0.000 0.000 0.000 8.140" Properties=species:S:1:pos:R:3 pbc="T T T"
Y 0.000 0.000 0.000
Y 2.519 4.070 4.070
Zn 2.521 7.258 1.763
Zn 2.521 0.881 6.377
Zn 0.002 5.833 4.951
Zn 5.036 3.189 5.833
Zn 5.036 4.951 2.307
Zn 2.517 1.763 0.881
Zn 2.517 6.377 7.258
Zn 0.002 2.307 3.189
Ga 2.515 3.510 6.970
Ga 5.034 5.240 7.580
Ga 2.515 4.630 1.170
Ga 0.003 0.560 5.240
Ga 2.522 6.970 4.630
Ga 0.003 7.580 2.900
Ga 5.034 2.900 0.560
Ga 2.522 1.170 3.510
```

Properties
The value obtained for the energy of formation is -0.982 eV per formula unit. The space group is No. 87.



- Number 2 is which compound?
  SrCa2Tc